# 1
DFT (PBE) results for an optimized crystal structure of MoIr3N.

Computed properties:
As for the total energy: -8.425 eV per atom.

abc: 4.1022 4.1022 4.1022
angles: 90.00 90.00 90.00
Positions (direct):
Mo  0.0000  0.0000  0.0000
Ir  0.0000  0.5000  0.5000
Ir  0.5000  0.0000  0.5000
Ir  0.5000  0.5000  0.0000
N  0.5000  0.5000  0.5000

=====

# 2
DFT (PBE) results for an optimized crystal structure of Mo4Ir2N.

Computed properties:
As for the total energy: -10.029 eV per atom.

abc: 8.2555 8.2555 8.2555
angles: 60.00 60.00 60.00
Positions (direct):
Mo  0.0000  0.0000  0.0000
Mo  0.0000  0.0000  0.5000
Mo  0.0000  0.5000  0.0000
Mo  0.1782  0.1782  0.5718
Mo  0.1782  0.5718  0.1782
Mo  0.1782  0.5718  0.5718
Mo  0.4282  0.4282  0.8218
Mo  0.4282  0.8218  0.4282
Mo  0.4282  0.8218  0.8218
Mo  0.5000  0.0000  0.0000
Mo  0.5718  0.1782  0.1782
Mo  0.5718  0.1782  0.5718
Mo  0.5718  0.5718  0.1782
Mo  0.8218  0.4282  0.4282
Mo  0.8218  0.4282  0.8218
Mo  0.8218  0.8218  0.4282
Ir  0.1474  0.7842  0.7842
Ir  0.2158  0.2158  0.2158
Ir  0.2158  0.2158  0.8526
Ir  0.2158  0.8526  0.2158
Ir  0.7842  0.1474  0.7842
Ir  0.7842  0.7842  0.1474
Ir  0.7842  0.7842  0.7842
Ir  0.8526  0.2158  0.2158
N  0.0000  0.5000  0.5000
N  0.5000  0.0000  0.5000
N  0.5000  0.5000  0.0000
N  0.5000  0.5000  0.5000

=====

# 3
DFT (PBE) results for an optimized crystal structure of Mo3IrN.

Computed properties:
As for the total energy: -7.236 eV per atom.

abc: 4.7242 4.7242 4.7242
angles: 90.00 90.00 90.00
Positions (direct):
Mo  0.0000  0.0000  0.5000
Mo  0.0000  0.5000  0.0000
Mo  0.5000  0.0000  0.0000
Ir  0.0000  0.0000  0.0000
N  0.5000  0.5000  0.5000

=====

# 4
DFT (PBE) results for an optimized crystal structure of MoIr2N.

Computed properties:
As for the total energy: -8.608 eV per atom.

abc: 6.3886 6.3886 6.3886
angles: 134.35 134.35 66.55
Positions (direct):
Mo  0.0000  0.0000  0.0000
Mo  0.7500  0.2500  0.5000
Ir  0.2109  0.6250  0.0859
Ir  0.3750  0.4609  0.5859
Ir  0.5391  0.1250  0.9141
Ir  0.8750  0.7891  0.4141
N  0.2500  0.7500  0.5000
N  0.5000  0.5000  0.0000